[1]
# Y2Ru PBE optimized geometry
# N(E_F) in states/eV/atom: 0.43
# Calculated formation energy in eV per atom: -0.27
# Space group: Cmc2_1 (36)
# Electronic total energy in eV/atom: -7.675
data_Y2Ru
_chemical_formula_sum 'Y4 Ru2'
_symmetry_space_group_name_H-M 'P 1'
_symmetry_Int_Tables_number 1
_symmetry_space_group_name_Hall 'P 1'
_cell_length_a 3.5426
_cell_length_b 6.6353
_cell_length_c 6.7042
_cell_angle_alpha 90.00
_cell_angle_beta 90.00
_cell_angle_gamma 105.48
loop_
_atom_site_label
_atom_site_type_symbol
_atom_site_fract_x
_atom_site_fract_y
_atom_site_fract_z
Ru1 Ru 0.9812 0.9624 0.0808
Ru2 Ru 0.7410 0.4821 0.5807
Y1 Y 0.3798 0.7597 0.7896
Y2 Y 0.0810 0.1620 0.4630
Y3 Y 0.3424 0.6847 0.2896
Y4 Y 0.6412 0.2825 0.9630


[2]
# KAc2Au6 PBE optimized geometry
# N(E_F) in states/eV/atom: 0.40
# Calculated formation energy in eV per atom: -0.57
# Space group: Immm (71)
# Electronic total energy in eV/atom: -3.786
# Relative energy among the computed polymorphs in meV per atom: 71
data_KAc2Au6
_chemical_formula_sum 'K1 Ac2 Au6'
_symmetry_space_group_name_H-M 'P 1'
_symmetry_Int_Tables_number 1
_symmetry_space_group_name_Hall 'P 1'
_cell_length_a 4.1834
_cell_length_b 8.8628
_cell_length_c 8.8628
_cell_angle_alpha 53.09
_cell_angle_beta 76.35
_cell_angle_gamma 76.35
loop_
_atom_site_label
_atom_site_type_symbol
_atom_site_fract_x
_atom_site_fract_y
_atom_site_fract_z
K1 K 0.5000 0.5000 0.5000
Ac1 Ac 0.3580 0.1420 0.1420
Ac2 Ac 0.6420 0.8580 0.8580
Au1 Au 0.1742 0.5173 0.1344
Au2 Au 0.8258 0.4827 0.8656
Au3 Au 0.8258 0.8656 0.4827
Au4 Au 0.0000 0.1808 0.8192
Au5 Au 0.0000 0.8192 0.1808
Au6 Au 0.1742 0.1344 0.5173


Please write out number 2 again, unchanged.
# KAc2Au6 PBE optimized geometry
# N(E_F) in states/eV/atom: 0.40
# Calculated formation energy in eV per atom: -0.57
# Space group: Immm (71)
# Electronic total energy in eV/atom: -3.786
# Relative energy among the computed polymorphs in meV per atom: 71
data_KAc2Au6
_chemical_formula_sum 'K1 Ac2 Au6'
_symmetry_space_group_name_H-M 'P 1'
_symmetry_Int_Tables_number 1
_symmetry_space_group_name_Hall 'P 1'
_cell_length_a 4.1834
_cell_length_b 8.8628
_cell_length_c 8.8628
_cell_angle_alpha 53.09
_cell_angle_beta 76.35
_cell_angle_gamma 76.35
loop_
_atom_site_label
_atom_site_type_symbol
_atom_site_fract_x
_atom_site_fract_y
_atom_site_fract_z
K1 K 0.5000 0.5000 0.5000
Ac1 Ac 0.3580 0.1420 0.1420
Ac2 Ac 0.6420 0.8580 0.8580
Au1 Au 0.1742 0.5173 0.1344
Au2 Au 0.8258 0.4827 0.8656
Au3 Au 0.8258 0.8656 0.4827
Au4 Au 0.0000 0.1808 0.8192
Au5 Au 0.0000 0.8192 0.1808
Au6 Au 0.1742 0.1344 0.5173


Question: Among the records above, which one has the lowest N(E_F)?
Answer: KAc2Au6